Record 1
Below is crystalline Na2Tl4In2Pb3 at its relaxed geometry, with properties calculated at the PBE level.

Values from the calculation:
theoretical density = 8.5 g cm⁻³
space-group type = P-3m1, No. 164
DOS(E_F) = 4.31 states/eV/f.u.
energy of formation from the pure elements = -36 meV per atom

abc: 5.325 5.325 13.707
angles: 90.00 90.00 120.00
Element x y z (fractional)
Na1 0.667 0.333 0.833
Na2 0.333 0.667 0.167
Tl1 0.667 0.333 0.088
Tl2 0.333 0.667 0.912
Tl3 0.667 0.333 0.574
Tl4 0.333 0.667 0.426
In1 0.667 0.333 0.333
In2 0.333 0.667 0.667
Pb1 0.000 0.000 0.738
Pb2 0.000 0.000 0.000
Pb3 0.000 0.000 0.262

Record 2
Below is crystalline Cs12Ba3Br5 at its relaxed geometry, with properties calculated at the PBE level.

Values from the calculation:
theoretical density = 2.3 g cm⁻³
space-group type = Ia-3d, No. 230
energy relative to the elements, uncorrected = -650 meV/atom
DOS(E_F) = 20.97 states/eV/f.u.

abc: 20.803 20.803 20.803
angles: 109.47 109.47 109.47
Site moments in Bohr magnetons follow the coordinates.
Element x y z (fractional)
Ba1 0.750 0.375 0.125  0.12
Ba2 0.875 0.750 0.125  0.12
Ba3 0.375 0.750 0.625  0.12
Ba4 0.250 0.125 0.375  0.12
Ba5 0.875 0.125 0.250  0.12
Ba6 0.375 0.625 0.250  0.12
Ba7 0.625 0.375 0.750  0.12
Ba8 0.125 0.875 0.750  0.12
Ba9 0.750 0.875 0.625  0.12
Ba10 0.625 0.250 0.375  0.12
Ba11 0.125 0.250 0.875  0.12
Ba12 0.250 0.625 0.875  0.12
Br1 0.125 0.375 0.250  0.01
Br2 0.000 0.500 0.000  0.01
Br3 0.000 0.000 0.000  0.01
Br4 0.375 0.250 0.125  0.01
Br5 0.500 0.000 0.500  0.01
Br6 0.500 0.500 0.000  0.01
Br7 0.125 0.750 0.375  0.01
Br8 0.750 0.125 0.875  0.01
Br9 0.750 0.625 0.375  0.01
Br10 0.375 0.125 0.750  0.01
Br11 0.625 0.875 0.250  0.01
Br12 0.500 0.500 0.500  0.01
Br13 0.500 0.000 0.000  0.01
Br14 0.000 0.000 0.500  0.01
Br15 0.250 0.375 0.625  0.01
Br16 0.250 0.875 0.125  0.01
Br17 0.000 0.500 0.500  0.01
Br18 0.875 0.250 0.625  0.01
Br19 0.625 0.750 0.875  0.01
Br20 0.875 0.625 0.750  0.01
Cs1 0.688 0.100 0.006  0.01
Cs2 0.318 0.506 0.406  0.01
Cs3 0.994 0.400 0.312  0.01
Cs4 0.506 0.188 0.100  0.01
Cs5 0.588 0.688 0.682  0.01
Cs6 0.994 0.594 0.182  0.01
Cs7 0.318 0.812 0.412  0.01
Cs8 0.094 0.912 0.100  0.01
Cs9 0.594 0.994 0.682  0.01
Cs10 0.688 0.588 0.182  0.01
Cs11 0.812 0.494 0.400  0.01
Cs12 0.818 0.906 0.006  0.01
Cs13 0.100 0.688 0.506  0.01
Cs14 0.400 0.406 0.088  0.01
Cs15 0.088 0.906 0.400  0.01
Cs16 0.412 0.100 0.594  0.01
Cs17 0.088 0.182 0.188  0.01
Cs18 0.494 0.682 0.094  0.01
Cs19 0.818 0.912 0.312  0.01
Cs20 0.100 0.412 0.094  0.01
Cs21 0.400 0.994 0.812  0.01
Cs22 0.594 0.600 0.412  0.01
Cs23 0.906 0.818 0.506  0.01
Cs24 0.812 0.318 0.912  0.01
Cs25 0.406 0.400 0.588  0.01
Cs26 0.094 0.182 0.494  0.01
Cs27 0.188 0.682 0.088  0.01
Cs28 0.182 0.088 0.688  0.01
Cs29 0.600 0.006 0.188  0.01
Cs30 0.900 0.588 0.906  0.01
Cs31 0.506 0.318 0.906  0.01
Cs32 0.588 0.900 0.406  0.01
Cs33 0.912 0.818 0.812  0.01
Cs34 0.912 0.094 0.600  0.01
Cs35 0.900 0.312 0.494  0.01
Cs36 0.182 0.094 0.994  0.01
Cs37 0.600 0.594 0.912  0.01
Cs38 0.406 0.006 0.318  0.01
Cs39 0.312 0.412 0.818  0.01
Cs40 0.188 0.506 0.600  0.01
Cs41 0.906 0.088 0.900  0.01
Cs42 0.682 0.188 0.588  0.01
Cs43 0.494 0.812 0.900  0.01
Cs44 0.006 0.406 0.818  0.01
Cs45 0.412 0.312 0.318  0.01
Cs46 0.006 0.600 0.688  0.01
Cs47 0.682 0.494 0.594  0.01
Cs48 0.312 0.900 0.994  0.01

Record 3
Below is crystalline Rb2CeUSe6 at its relaxed geometry, with properties calculated at the PBE level.

Values from the calculation:
theoretical density = 5.1 g cm⁻³
space-group type = Pmmn, No. 59
energy relative to the elements, uncorrected = -1281 meV/atom
DOS(E_F) = 3.69 states/eV/f.u.

abc: 7.802 7.801 11.032
angles: 90.00 90.00 90.00
Site moments in Bohr magnetons follow the coordinates.
Element x y z (fractional)
Rb1 0.500 0.750 0.250  0.00
Rb2 0.000 0.250 0.750  0.00
Rb3 0.500 0.750 0.750  0.00
Rb4 0.000 0.250 0.250  0.00
Ce1 0.000 0.750 0.500  -0.14
Ce2 0.500 0.250 0.000  -0.14
U1 0.500 0.250 0.500  0.34
U2 0.000 0.750 0.000  0.34
Se1 0.500 0.250 0.256  -0.01
Se2 0.500 0.250 0.744  -0.01
Se3 0.000 0.750 0.244  -0.01
Se4 0.000 0.750 0.756  -0.01
Se5 0.256 0.005 0.500  -0.01
Se6 0.744 0.005 0.500  -0.01
Se7 0.256 0.493 0.500  -0.01
Se8 0.744 0.493 0.500  -0.01
Se9 0.756 0.507 0.000  -0.01
Se10 0.244 0.507 0.000  -0.01
Se11 0.244 0.995 0.000  -0.01
Se12 0.756 0.995 0.000  -0.01

Record 4
Below is crystalline Nd4GeTe2Au at its relaxed geometry, with properties calculated at the PBE level.

Values from the calculation:
theoretical density = 7.5 g cm⁻³
space-group type = P2/m, No. 10
energy relative to the elements, uncorrected = -1128 meV/atom
DOS(E_F) = 5.59 states/eV/f.u.

abc: 4.373 7.581 7.780
angles: 108.60 90.00 90.00
Element x y z (fractional)
Nd1 0.500 0.235 0.229
Nd2 0.500 0.765 0.771
Nd3 0.000 0.248 0.766
Nd4 0.000 0.752 0.234
Ge1 0.000 0.000 0.000
Te1 0.500 0.000 0.500
Te2 0.000 0.500 0.500
Au1 0.500 0.500 0.000

For the records above, the corresponding DFT total energy values read -2.645; -1.868; -5.287; -5.284 eV per atom.